# 1
A plane-wave DFT calculation with PBE was carried out for a relaxed Li2PrSmSn2 crystal.

a b c (Å): 4.7734 4.7734 7.6575
angles (deg): 90.00 90.00 120.00
Space group P-3m1 (No. 164)
One atom of each set of equivalent atoms:
Li (0.3333, 0.6667, 0.2289) [2 per cell]
Pr (0.0000, 0.0000, 0.5000) [1 per cell]
Sm (0.0000, 0.0000, 0.0000) [1 per cell]
Sn (0.3333, 0.6667, 0.7570) [2 per cell]

The value obtained for the density of states at the Fermi level is 0.319 states/eV/atom. For the energy of formation, the calculation gives -0.66 eV per atom.


# 2
A plane-wave DFT calculation with PBE was carried out for a relaxed Li2Pr2SmSn2 crystal.

a b c (Å): 4.8400 4.8400 27.8586
angles (deg): 90.00 90.00 120.00
Space group R-3m (No. 166, hexagonal axes)
One atom of each set of equivalent atoms:
Li (0.0000, 0.0000, 0.1025) [6 per cell]
Pr (0.0000, 0.0000, 0.3713) [6 per cell]
Sm (0.0000, 0.0000, 0.5000) [3 per cell]
Sn (0.0000, 0.0000, 0.2339) [6 per cell]

The value obtained for the density of states at the Fermi level is 0.726 states/eV/atom. For the energy of formation, the calculation gives -0.48 eV per atom.


# 3
A plane-wave DFT calculation with PBE was carried out for a relaxed LiPrSmTc crystal.

a b c (Å): 7.1594 7.1594 7.1594
angles (deg): 90.00 90.00 90.00
Space group F-43m (No. 216)
One atom of each set of equivalent atoms:
Li (0.0000, 0.0000, 0.0000) [4 per cell]
Pr (0.2500, 0.2500, 0.2500) [4 per cell]
Sm (0.2500, 0.2500, 0.7500) [4 per cell]
Tc (0.0000, 0.0000, 0.5000) [4 per cell]

The value obtained for the density of states at the Fermi level is 0.771 states/eV/atom. For the energy of formation, the calculation gives 0.07 eV per atom.


# 4
A plane-wave DFT calculation with PBE was carried out for a relaxed LiPr2Sm3Te6 crystal.

a b c (Å): 19.4396 4.4517 8.9210
angles (deg): 90.00 103.32 90.00
Space group C2/m (No. 12)
One atom of each set of equivalent atoms:
Li (0.0000, 0.0000, 0.0000) [2 per cell]
Pr (0.1690, 0.5000, 0.3391) [4 per cell]
Sm (0.0000, 0.0000, 0.5000) [2 per cell]
Sm (0.1697, 0.5000, 0.8315) [4 per cell]
Te (0.0017, 0.5000, 0.7594) [4 per cell]
Te (0.1610, 0.0000, 0.0755) [4 per cell]
Te (0.1635, 0.0000, 0.5875) [4 per cell]

The value obtained for the density of states at the Fermi level is 0.341 states/eV/atom. The raw formation energy comes out at -1389 meV/atom.


# 5
A plane-wave DFT calculation with PBE was carried out for a relaxed LiPr2SmTe4 crystal.

a b c (Å): 7.7240 4.4482 7.7351
angles (deg): 90.00 109.30 90.00
Space group P2/m (No. 10)
One atom of each set of equivalent atoms:
Li (0.0000, 0.0000, 0.0000) [1 per cell]
Pr (0.0000, 0.5000, 0.5000) [1 per cell]
Pr (0.5000, 0.0000, 0.5000) [1 per cell]
Sm (0.5000, 0.5000, 0.0000) [1 per cell]
Te (0.2385, 0.5000, 0.2342) [2 per cell]
Te (0.2463, 0.0000, 0.7623) [2 per cell]

The value obtained for the density of states at the Fermi level is 0.422 states/eV/atom. The raw formation energy comes out at -1378 meV/atom.


# 6
A plane-wave DFT calculation with PBE was carried out for a relaxed LiPr3Sm4Te8 crystal.

a b c (Å): 8.9336 8.9336 21.8792
angles (deg): 90.00 90.00 120.00
Space group R-3m (No. 166, hexagonal axes)
One atom of each set of equivalent atoms:
Li (0.0000, 0.0000, 0.0000) [3 per cell]
Pr (0.0000, 0.5000, 0.0000) [9 per cell]
Sm (0.0000, 0.0000, 0.5000) [3 per cell]
Sm (0.0000, 0.5000, 0.5000) [9 per cell]
Te (0.0000, 0.0000, 0.2478) [6 per cell]
Te (0.0105, 0.5053, 0.7496) [18 per cell]

The value obtained for the density of states at the Fermi level is 0.509 states/eV/atom. The raw formation energy comes out at -1388 meV/atom.


# 7
A plane-wave DFT calculation with PBE was carried out for a relaxed LiPrSm2Te5 crystal.

a b c (Å): 4.4230 18.8357 13.3405
angles (deg): 90.00 90.00 90.00
Space group Cmc2_1 (No. 36)
One atom of each set of equivalent atoms:
Li (0.0000, 0.0516, 0.0000) [4 per cell]
Pr (0.0000, 0.3007, 0.5404) [4 per cell]
Sm (0.0000, 0.3752, 0.8344) [4 per cell]
Sm (0.0000, 0.3945, 0.2186) [4 per cell]
Te (0.0000, 0.0021, 0.3159) [4 per cell]
Te (0.0000, 0.1325, 0.5323) [4 per cell]
Te (0.0000, 0.1835, 0.8723) [4 per cell]
Te (0.0000, 0.2161, 0.2082) [4 per cell]
Te (0.0000, 0.4544, 0.6101) [4 per cell]

The value obtained for the density of states at the Fermi level is 0.000 states/eV/atom. The raw formation energy comes out at -1283 meV/atom.


# 8
A plane-wave DFT calculation with PBE was carried out for a relaxed LiPr3Sm2Te6 crystal.

a b c (Å): 19.4773 4.4666 8.9325
angles (deg): 90.00 103.37 90.00
Space group C2/m (No. 12)
One atom of each set of equivalent atoms:
Li (0.0000, 0.0000, 0.0000) [2 per cell]
Pr (0.0000, 0.0000, 0.5000) [2 per cell]
Pr (0.1683, 0.5000, 0.8316) [4 per cell]
Sm (0.1675, 0.5000, 0.3371) [4 per cell]
Te (0.0013, 0.5000, 0.2362) [4 per cell]
Te (0.1598, 0.0000, 0.0840) [4 per cell]
Te (0.1672, 0.0000, 0.5803) [4 per cell]

The value obtained for the density of states at the Fermi level is 0.372 states/eV/atom. The raw formation energy comes out at -1394 meV/atom.


# 9
A plane-wave DFT calculation with PBE was carried out for a relaxed LiPrSm2Te4 crystal.

a b c (Å): 7.7073 4.4254 7.7088
angles (deg): 90.00 109.25 90.00
Space group P2/m (No. 10)
One atom of each set of equivalent atoms:
Li (0.0000, 0.0000, 0.0000) [1 per cell]
Pr (0.5000, 0.5000, 0.0000) [1 per cell]
Sm (0.0000, 0.5000, 0.5000) [1 per cell]
Sm (0.5000, 0.0000, 0.5000) [1 per cell]
Te (0.2394, 0.5000, 0.2437) [2 per cell]
Te (0.2402, 0.0000, 0.7512) [2 per cell]

The value obtained for the density of states at the Fermi level is 0.410 states/eV/atom. The raw formation energy comes out at -1367 meV/atom.


# 10
A plane-wave DFT calculation with PBE was carried out for a relaxed Li3PrSm2Te6 crystal.

a b c (Å): 7.6932 13.3267 7.5395
angles (deg): 90.00 109.88 90.00
Space group C2/m (No. 12)
One atom of each set of equivalent atoms:
Li (0.0000, 0.0000, 0.0000) [2 per cell]
Li (0.0000, 0.3335, 0.0000) [4 per cell]
Pr (0.0000, 0.5000, 0.5000) [2 per cell]
Sm (0.0000, 0.1667, 0.5000) [4 per cell]
Te (0.2442, 0.1689, 0.2392) [8 per cell]
Te (0.2494, 0.0000, 0.7616) [4 per cell]

The raw formation energy comes out at -1297 meV/atom.


# 11
A plane-wave DFT calculation with PBE was carried out for a relaxed LiPr2SmTe5 crystal.

a b c (Å): 4.4548 18.9267 13.3399
angles (deg): 90.00 90.00 90.00
Space group Cmc2_1 (No. 36)
One atom of each set of equivalent atoms:
Li (0.0000, 0.0558, 0.0000) [4 per cell]
Pr (0.0000, 0.3743, 0.8376) [4 per cell]
Pr (0.0000, 0.3940, 0.2207) [4 per cell]
Sm (0.0000, 0.3013, 0.5433) [4 per cell]
Te (0.0000, 0.0015, 0.3178) [4 per cell]
Te (0.0000, 0.1360, 0.5336) [4 per cell]
Te (0.0000, 0.1870, 0.8785) [4 per cell]
Te (0.0000, 0.2165, 0.2052) [4 per cell]
Te (0.0000, 0.4530, 0.6082) [4 per cell]

The raw formation energy comes out at -1336 meV/atom.


# 12
A plane-wave DFT calculation with PBE was carried out for a relaxed LiPrSm2Tl4 crystal.

a b c (Å): 5.3351 5.3351 27.2124
angles (deg): 90.00 90.00 120.00
Space group R-3m (No. 166, hexagonal axes)
One atom of each set of equivalent atoms:
Li (0.0000, 0.0000, 0.0000) [3 per cell]
Pr (0.0000, 0.0000, 0.5000) [3 per cell]
Sm (0.0000, 0.0000, 0.2560) [6 per cell]
Tl (0.0000, 0.0000, 0.1222) [6 per cell]
Tl (0.0000, 0.0000, 0.3727) [6 per cell]

The value obtained for the density of states at the Fermi level is 0.589 states/eV/atom. For the energy of formation, the calculation gives -0.35 eV per atom.


# 13
A plane-wave DFT calculation with PBE was carried out for a relaxed Li2PrSmTl4 crystal.

a b c (Å): 5.2876 5.2876 25.8000
angles (deg): 90.00 90.00 120.00
Space group R-3m (No. 166, hexagonal axes)
One atom of each set of equivalent atoms:
Li (0.0000, 0.0000, 0.2495) [6 per cell]
Pr (0.0000, 0.0000, 0.0000) [3 per cell]
Sm (0.0000, 0.0000, 0.5000) [3 per cell]
Tl (0.0000, 0.0000, 0.1266) [6 per cell]
Tl (0.0000, 0.0000, 0.3758) [6 per cell]

The value obtained for the density of states at the Fermi level is 0.183 states/eV/atom. For the energy of formation, the calculation gives -0.34 eV per atom.


# 14
A plane-wave DFT calculation with PBE was carried out for a relaxed Li2Pr2SmTl2 crystal.

a b c (Å): 4.9275 4.9275 27.4231
angles (deg): 90.00 90.00 120.00
Space group R-3m (No. 166, hexagonal axes)
One atom of each set of equivalent atoms:
Li (0.0000, 0.0000, 0.1078) [6 per cell]
Pr (0.0000, 0.0000, 0.3732) [6 per cell]
Sm (0.0000, 0.0000, 0.5000) [3 per cell]
Tl (0.0000, 0.0000, 0.2343) [6 per cell]

The value obtained for the density of states at the Fermi level is 0.893 states/eV/atom. For the energy of formation, the calculation gives -0.21 eV per atom.


# 15
A plane-wave DFT calculation with PBE was carried out for a relaxed LiPrSmTl crystal.

a b c (Å): 7.6967 7.6967 7.6967
angles (deg): 90.00 90.00 90.00
Space group F-43m (No. 216)
One atom of each set of equivalent atoms:
Li (0.0000, 0.0000, 0.0000) [4 per cell]
Pr (0.2500, 0.2500, 0.7500) [4 per cell]
Sm (0.2500, 0.2500, 0.2500) [4 per cell]
Tl (0.0000, 0.0000, 0.5000) [4 per cell]

The value obtained for the density of states at the Fermi level is 1.216 states/eV/atom. For the energy of formation, the calculation gives -0.20 eV per atom.


# 16
A plane-wave DFT calculation with PBE was carried out for a relaxed LiPr2SmTl4 crystal.

a b c (Å): 5.3626 5.3626 27.3568
angles (deg): 90.00 90.00 120.00
Space group R-3m (No. 166, hexagonal axes)
One atom of each set of equivalent atoms:
Li (0.0000, 0.0000, 0.0000) [3 per cell]
Pr (0.0000, 0.0000, 0.2564) [6 per cell]
Sm (0.0000, 0.0000, 0.5000) [3 per cell]
Tl (0.0000, 0.0000, 0.1246) [6 per cell]
Tl (0.0000, 0.0000, 0.3739) [6 per cell]

The value obtained for the density of states at the Fermi level is 0.632 states/eV/atom. For the energy of formation, the calculation gives -0.35 eV per atom.


# 17
A plane-wave DFT calculation with PBE was carried out for a relaxed LiPrSmTm crystal.

a b c (Å): 7.8636 7.8636 7.8636
angles (deg): 90.00 90.00 90.00
Space group F-43m (No. 216)
One atom of each set of equivalent atoms:
Li (0.0000, 0.0000, 0.0000) [4 per cell]
Pr (0.2500, 0.2500, 0.2500) [4 per cell]
Sm (0.2500, 0.2500, 0.7500) [4 per cell]
Tm (0.0000, 0.0000, 0.5000) [4 per cell]

The value obtained for the density of states at the Fermi level is 1.180 states/eV/atom. For the energy of formation, the calculation gives 0.15 eV per atom.


# 18
A plane-wave DFT calculation with PBE was carried out for a relaxed LiPrSmY crystal.

a b c (Å): 7.9324 7.9324 7.9324
angles (deg): 90.00 90.00 90.00
Space group F-43m (No. 216)
One atom of each set of equivalent atoms:
Li (0.0000, 0.0000, 0.0000) [4 per cell]
Pr (0.2500, 0.2500, 0.2500) [4 per cell]
Sm (0.0000, 0.0000, 0.5000) [4 per cell]
Y (0.2500, 0.2500, 0.7500) [4 per cell]

The value obtained for the density of states at the Fermi level is 1.232 states/eV/atom. For the energy of formation, the calculation gives 0.19 eV per atom.


# 19
A plane-wave DFT calculation with PBE was carried out for a relaxed Li6PrSn4 crystal.

a b c (Å): 7.6240 7.6240 4.5926
angles (deg): 90.00 90.00 120.00
Space group P-6m2 (No. 187)
One atom of each set of equivalent atoms:
Li (0.2032, 0.4065, 0.0000) [3 per cell]
Li (0.2373, 0.1186, 0.5000) [3 per cell]
Pr (0.6667, 0.3333, 0.0000) [1 per cell]
Sn (0.0000, 0.0000, 0.0000) [1 per cell]
Sn (0.0623, 0.5312, 0.5000) [3 per cell]

The value obtained for the density of states at the Fermi level is 0.423 states/eV/atom. For the energy of formation, the calculation gives -0.37 eV per atom.


# 20
A plane-wave DFT calculation with PBE was carried out for a relaxed LiPr2Sn crystal.

a b c (Å): 5.0757 5.0757 4.4227
angles (deg): 90.00 90.00 90.00
Space group P4/mmm (No. 123)
One atom of each set of equivalent atoms:
Li (0.0000, 0.0000, 0.0000) [1 per cell]
Pr (0.0000, 0.5000, 0.5000) [2 per cell]
Sn (0.5000, 0.5000, 0.0000) [1 per cell]

The value obtained for the density of states at the Fermi level is 0.937 states/eV/atom. For the energy of formation, the calculation gives -0.43 eV per atom. For the energy relative to the lowest polymorph listed for this composition, the calculation gives 0.022 eV/atom.


# 21
A plane-wave DFT calculation with PBE was carried out for a relaxed LiPr2Sn3 crystal.

a b c (Å): 11.1367 6.5111 9.9009
angles (deg): 90.00 112.32 90.00
Space group C2/c (No. 15)
One atom of each set of equivalent atoms:
Li (0.0000, 0.1312, 0.2500) [4 per cell]
Pr (0.1764, 0.4036, 0.0993) [8 per cell]
Sn (0.0000, 0.3355, 0.7500) [4 per cell]
Sn (0.1280, 0.0999, 0.5628) [8 per cell]

The value obtained for the density of states at the Fermi level is 0.660 states/eV/atom. For the energy of formation, the calculation gives -0.53 eV per atom. For the energy relative to the lowest polymorph listed for this composition, the calculation gives 0.092 eV/atom.


# 22
A plane-wave DFT calculation with PBE was carried out for a relaxed LiPrSn6 crystal.

a b c (Å): 4.7037 4.7037 9.4828
angles (deg): 90.00 90.00 90.00
Space group P4/mmm (No. 123)
One atom of each set of equivalent atoms:
Li (0.0000, 0.0000, 0.0000) [1 per cell]
Pr (0.0000, 0.0000, 0.5000) [1 per cell]
Sn (0.0000, 0.5000, 0.2372) [4 per cell]
Sn (0.5000, 0.5000, 0.0000) [1 per cell]
Sn (0.5000, 0.5000, 0.5000) [1 per cell]

The value obtained for the density of states at the Fermi level is 0.363 states/eV/atom. For the energy of formation, the calculation gives -0.32 eV per atom.